(1)
! PBE-GGA NdMgI4, optimized geometry; values from VASP
&SYSTEM
  ibrav = 0, nat = 6, ntyp = 3
/
ATOMIC_SPECIES
I 126.90 I.upf
Nd 144.24 Nd.upf
Mg 24.30 Mg.upf
ATOMIC_POSITIONS crystal
I 0.2744 0.5000 0.2412
I 0.7241 0.0000 0.2204
I 0.2759 0.0000 0.7796
Nd 0.0000 0.0000 0.0000
Mg 0.5000 0.5000 0.0000
I 0.7256 0.5000 0.7588
CELL_PARAMETERS angstrom
7.9484 0.0000 0.0000
0.0000 4.1255 0.0000
-2.3675 0.0000 7.6368
! Space-group type   P2/m (10)
! Energy   -3.21 eV per atom
! V   250 Å³/cell

(2)
! PBE-GGA BeCoAg2, optimized geometry; values from VASP
&SYSTEM
  ibrav = 0, nat = 4, ntyp = 3
/
ATOMIC_SPECIES
Ag 107.87 Ag.upf
Co 58.93 Co.upf
Be 9.01 Be.upf
ATOMIC_POSITIONS crystal
Ag 0.7500 0.7500 0.7500
Co 0.2500 0.2500 0.2500
Be 0.5000 0.5000 0.5000
Ag 0.0000 0.0000 0.0000
CELL_PARAMETERS angstrom
0.0000 3.0187 3.0187
3.0187 0.0000 3.0187
3.0187 3.0187 0.0000
! Space-group type   F-43m (216)
! Energy   -3.69 eV per atom
! V   55 Å³/cell

(3)
! PBE-GGA Pm5Tl3Hg, optimized geometry; values from VASP
&SYSTEM
  ibrav = 0, nat = 18, ntyp = 3
/
ATOMIC_SPECIES
Tl 204.38 Tl.upf
Pm 145.00 Pm.upf
Hg 200.59 Hg.upf
ATOMIC_POSITIONS crystal
Tl 0.3738 0.6262 0.2500
Tl 0.6263 0.0000 0.2500
Pm 0.0000 0.7141 0.2500
Tl 0.0000 0.3737 0.2500
Tl 0.0000 0.6263 0.7500
Pm 0.2859 0.7141 0.7500
Pm 0.0000 0.2859 0.7500
Hg 0.0000 0.0000 0.0000
Pm 0.6667 0.6667 0.5000
Pm 0.2859 0.0000 0.2500
Pm 0.7141 0.0000 0.7500
Pm 0.7141 0.2859 0.2500
Pm 0.6667 0.6667 0.0000
Hg 0.0000 0.0000 0.5000
Pm 0.3333 0.3333 0.5000
Pm 0.3333 0.3333 0.0000
Tl 0.6262 0.3738 0.7500
Tl 0.3737 0.0000 0.7500
CELL_PARAMETERS angstrom
8.2419 -4.7584 0.0000
8.2419 4.7584 0.0000
0.0000 0.0000 6.8263
! Space-group type   P6_3/mcm (193)
! Energy   -3.84 eV per atom
! V   535 Å³/cell

Question: Number 2 is which compound?
Answer: BeCoAg2